# Ce2Dy2Ho5

Ce2Dy2Ho5 after structural relaxation (PBE, the Alexandria database).

Calculated values
The calculation puts the total energy at -42.88 eV per cell.

The structure in extended XYZ format:
```
9
Lattice="5.340 0.000 1.624 1.339 6.849 5.191 0.251 1.462 8.767" Properties=species:S:1:pos:R:3 pbc="T T T"
Ho 5.123 7.755 11.933
Ce 0.989 3.028 6.342
Ho 0.000 0.000 0.000
Ho 4.727 2.526 3.642
Ho 1.808 0.556 3.648
Ho 2.204 5.785 11.940
Ce 5.942 5.283 9.240
Dy 3.935 4.790 6.246
Dy 2.995 3.522 9.336
```

***

# RbMg3Sb2

RbMg3Sb2 after structural relaxation (PBE, the Alexandria database).

Calculated values
The calculation puts the raw formation energy at -0.320 eV per atom.

The structure in extended XYZ format:
```
12
Lattice="-2.014 3.777 -1.871 -5.057 -3.721 -7.902 -9.419 -1.082 2.123" Properties=species:S:1:pos:R:3 pbc="T T T"
Mg -5.104 0.539 -5.081
Sb -6.703 -1.161 -6.793
Sb -9.787 0.135 -0.857
Sb -5.208 -0.976 -2.196
Mg -11.386 -1.565 -2.568
Mg -10.206 1.592 -3.295
Mg -6.284 -2.618 -4.354
Rb -3.789 2.725 -2.083
Rb -12.701 -3.752 -5.566
Mg -7.398 0.765 -2.156
Mg -9.092 -1.792 -5.494
Sb -11.282 -0.051 -5.454
```

***

Please write out number 2 again, unchanged.
# RbMg3Sb2

RbMg3Sb2 after structural relaxation (PBE, the Alexandria database).

Calculated values
The calculation puts the raw formation energy at -0.320 eV per atom.

The structure in extended XYZ format:
```
12
Lattice="-2.014 3.777 -1.871 -5.057 -3.721 -7.902 -9.419 -1.082 2.123" Properties=species:S:1:pos:R:3 pbc="T T T"
Mg -5.104 0.539 -5.081
Sb -6.703 -1.161 -6.793
Sb -9.787 0.135 -0.857
Sb -5.208 -0.976 -2.196
Mg -11.386 -1.565 -2.568
Mg -10.206 1.592 -3.295
Mg -6.284 -2.618 -4.354
Rb -3.789 2.725 -2.083
Rb -12.701 -3.752 -5.566
Mg -7.398 0.765 -2.156
Mg -9.092 -1.792 -5.494
Sb -11.282 -0.051 -5.454
```

***

Please write out number 1 again, unchanged.
# Ce2Dy2Ho5

Ce2Dy2Ho5 after structural relaxation (PBE, the Alexandria database).

Calculated values
The calculation puts the total energy at -42.88 eV per cell.

The structure in extended XYZ format:
```
9
Lattice="5.340 0.000 1.624 1.339 6.849 5.191 0.251 1.462 8.767" Properties=species:S:1:pos:R:3 pbc="T T T"
Ho 5.123 7.755 11.933
Ce 0.989 3.028 6.342
Ho 0.000 0.000 0.000
Ho 4.727 2.526 3.642
Ho 1.808 0.556 3.648
Ho 2.204 5.785 11.940
Ce 5.942 5.283 9.240
Dy 3.935 4.790 6.246
Dy 2.995 3.522 9.336
```